VASP calculation (PBE with a Hubbard U) on a geometry-optimized NaCr2FeO10 structure.

a b c (Å): 8.6106 8.6106 10.3311
angles (deg): 61.90 61.90 37.39
Last column: magnetic moment on the atom in μB.
Atoms (fractional coordinates):
Fe (0.5000, 0.0000, 0.0000)  3.72
Fe (0.0000, 0.5000, 0.5000)  3.72
O (0.7756, 0.8912, 0.4595)  -0.03
O (0.2168, 0.7970, 0.8865)  -0.02
O (0.4980, 0.0627, 0.7754)  -0.29
O (0.1088, 0.2244, 0.0405)  -0.03
O (0.3231, 0.4206, 0.4496)  -0.03
O (0.6769, 0.5794, 0.5504)  -0.03
O (0.8742, 0.3774, 0.8238)  -0.16
O (0.4206, 0.3231, 0.9496)  -0.03
O (0.8912, 0.7756, 0.9595)  -0.03
O (0.7832, 0.2030, 0.1135)  -0.02
O (0.3774, 0.8742, 0.3238)  -0.16
O (0.5020, 0.9373, 0.2246)  -0.29
O (0.5794, 0.6769, 0.0504)  -0.03
O (0.7970, 0.2168, 0.3865)  -0.02
O (0.9373, 0.5020, 0.7246)  -0.29
O (0.1258, 0.6226, 0.1762)  -0.16
O (0.6226, 0.1258, 0.6762)  -0.16
O (0.2244, 0.1088, 0.5405)  -0.03
O (0.2030, 0.7832, 0.6135)  -0.02
O (0.0627, 0.4980, 0.2754)  -0.29
Cr (0.1654, 0.6259, 0.9846)  0.24
Cr (0.6259, 0.1654, 0.4846)  0.24
Cr (0.3741, 0.8346, 0.5154)  0.24
Cr (0.8346, 0.3741, 0.0154)  0.24
Na (0.8143, 0.1857, 0.7500)  0.00
Na (0.1857, 0.8143, 0.2500)  0.00

Results
Relative energy among the computed polymorphs, meV/atom: 0.0
Total energy, eV per atom: -6.078